The following is a PBE calculation of an optimized crystal structure of Li2Cu2Mo, from Alexandria via LeMat-Bulk.

a b c (Å): 7.116 7.116 2.522
angles (deg): 90.00 90.00 90.00
Positions (direct):
Mo (0.000, 0.000, 0.000)
Mo (0.500, 0.500, 0.000)
Cu (0.186, 0.686, 0.500)
Cu (0.686, 0.814, 0.500)
Cu (0.814, 0.314, 0.500)
Cu (0.314, 0.186, 0.500)
Li (0.384, 0.884, 0.000)
Li (0.884, 0.616, 0.000)
Li (0.616, 0.116, 0.000)
Li (0.116, 0.384, 0.000)

Results
* total magnetic moment: 0.0 μB/f.u.
* V: 12.8 A^3/atom
* E_form: 225 meV/atom
* calculated total energy: -4.35 eV per atom
* crystal system: tetragonal

***

The following is a PBE calculation of an optimized crystal structure of KTl3Os, from Alexandria via LeMat-Bulk.

a b c (Å): 5.877 5.877 5.877
angles (deg): 90.00 90.00 90.00
Site moments in Bohr magnetons follow the coordinates.
Positions (direct):
Tl (0.000, 0.500, 0.000)  -0.07
Tl (0.000, 0.000, 0.500)  -0.06
Tl (0.500, 0.000, 0.000)  -0.06
Os (0.500, 0.500, 0.500)  2.67
K (0.000, 0.000, 0.000)  -0.02

Results
* total magnetic moment: 2.2 μB/f.u.
* V: 40.6 A^3/atom
* E_form: 1923 meV/atom
* calculated total energy: -1.96 eV per atom
* crystal system: cubic
* polymorph energy (0 for the lowest one): 1718 meV/atom

***

The following is a PBE calculation of an optimized crystal structure of Nd3TmAl4, from Alexandria via LeMat-Bulk.

a b c (Å): 3.676 3.676 14.809
angles (deg): 90.00 90.00 90.00
Positions (direct):
Tm (0.500, 0.500, 0.000)
Nd (0.500, 0.500, 0.243)
Nd (0.500, 0.500, 0.500)
Nd (0.500, 0.500, 0.757)
Al (0.000, 0.000, 0.889)
Al (0.000, 0.000, 0.111)
Al (0.000, 0.000, 0.371)
Al (0.000, 0.000, 0.629)

Results
* total magnetic moment: 0.0 μB/f.u.
* V: 25.0 A^3/atom
* E_form: -363 meV/atom
* calculated total energy: -4.58 eV per atom
* crystal system: tetragonal

***

The following is a PBE calculation of an optimized crystal structure of LaY2Fe, from Alexandria via LeMat-Bulk.

a b c (Å): 4.965 4.700 4.700
angles (deg): 90.00 90.00 90.00
Site moments in Bohr magnetons follow the coordinates.
Positions (direct):
Fe (0.500, 0.500, 0.000)  2.78
La (0.500, 0.000, 0.500)  -0.13
Y (0.000, 0.000, 0.000)  -0.12
Y (0.000, 0.500, 0.500)  -0.12

Results
* total magnetic moment: 2.1 μB/f.u.
* V: 27.4 A^3/atom
* E_form: 348 meV/atom
* calculated total energy: -6.23 eV per atom
* crystal system: tetragonal
* polymorph energy (0 for the lowest one): 251 meV/atom

***

The following is a PBE calculation of an optimized crystal structure of AcCdPtRh, from Alexandria via LeMat-Bulk.

a b c (Å): 4.990 4.990 4.990
angles (deg): 60.00 60.00 60.00
Positions (direct):
Ac (0.000, 0.000, 0.000)
Rh (0.250, 0.250, 0.250)
Pt (0.750, 0.750, 0.750)
Cd (0.500, 0.500, 0.500)

Results
* total magnetic moment: 0.0 μB/f.u.
* V: 22.0 A^3/atom
* E_form: -468 meV/atom
* calculated total energy: -5.07 eV per atom
* crystal system: cubic

***

The following is a PBE calculation of an optimized crystal structure of K3Sm2DyTe6, from Alexandria via LeMat-Bulk.

a b c (Å): 7.875 7.875 8.659
angles (deg): 98.72 98.72 120.00
Positions (direct):
K (0.168, 0.832, 0.500)
K (0.832, 0.168, 0.500)
K (0.500, 0.500, 0.500)
Sm (0.334, 0.666, 0.000)
Sm (0.666, 0.334, 0.000)
Dy (0.000, 0.000, 0.000)
Te (0.930, 0.601, 0.789)
Te (0.742, 0.742, 0.211)
Te (0.070, 0.399, 0.211)
Te (0.601, 0.930, 0.789)
Te (0.258, 0.258, 0.789)
Te (0.399, 0.070, 0.211)

Results
* total magnetic moment: 0.0 μB/f.u.
* V: 36.9 A^3/atom
* formation energy without anion corrections: -1.407 eV per atom
* calculated total energy: -4.42 eV per atom
* crystal system: monoclinic

***

The following is a PBE calculation of an optimized crystal structure of PrThZnSi, from Alexandria via LeMat-Bulk.

a b c (Å): 5.179 5.179 5.179
angles (deg): 60.00 60.00 60.00
Positions (direct):
Pr (0.500, 0.500, 0.500)
Zn (0.750, 0.750, 0.750)
Si (0.250, 0.250, 0.250)
Th (0.000, 0.000, 0.000)

Results
* total magnetic moment: 0.0 μB/f.u.
* V: 24.6 A^3/atom
* formation energy without anion corrections: -0.324 eV per atom
* calculated total energy: -5.05 eV per atom
* crystal system: cubic

***

The following is a PBE calculation of an optimized crystal structure of SrTiAs2Se, from Alexandria via LeMat-Bulk.

a b c (Å): 5.473 5.473 5.548
angles (deg): 90.00 90.00 90.00
Site moments in Bohr magnetons follow the coordinates.
Positions (direct):
Sr (0.000, 0.000, 0.000)  -0.01
As (0.000, 0.500, 0.000)  -0.10
As (0.500, 0.000, 0.000)  -0.10
Se (0.000, 0.000, 0.500)  -0.06
Ti (0.500, 0.500, 0.500)  1.83

Results
* total magnetic moment: 1.7 μB/f.u.
* V: 33.2 A^3/atom
* formation energy without anion corrections: 0.896 eV per atom
* calculated total energy: -3.58 eV per atom
* crystal system: tetragonal
* polymorph energy (0 for the lowest one): 1675 meV/atom

***

The following is a PBE calculation of an optimized crystal structure of LiAcGeI, from Alexandria via LeMat-Bulk.

a b c (Å): 4.481 4.481 16.123
angles (deg): 82.01 82.01 60.00
Positions (direct):
Li (0.683, 0.683, 0.950)
Li (0.317, 0.317, 0.050)
Ac (0.077, 0.077, 0.769)
Ac (0.923, 0.923, 0.231)
Ge (0.628, 0.628, 0.115)
Ge (0.372, 0.372, 0.885)
I (0.791, 0.791, 0.628)
I (0.209, 0.209, 0.372)

Results
* total magnetic moment: 0.0 μB/f.u.
* V: 34.6 A^3/atom
* formation energy without anion corrections: -0.734 eV per atom
* calculated total energy: -3.78 eV per atom
* crystal system: trigonal

***

The following is a PBE calculation of an optimized crystal structure of Hf2InSe2, from Alexandria via LeMat-Bulk.

a b c (Å): 4.706 4.706 6.513
angles (deg): 68.82 68.82 90.00
Positions (direct):
Hf (0.368, 0.368, 0.265)
Hf (0.632, 0.632, 0.735)
Se (0.750, 0.250, 0.500)
Se (0.250, 0.750, 0.500)
In (0.000, 0.000, 0.000)

Results
* total magnetic moment: 0.0 μB/f.u.
* V: 24.8 A^3/atom
* formation energy without anion corrections: -0.416 eV per atom
* calculated total energy: -6.34 eV per atom
* crystal system: tetragonal
* polymorph energy (0 for the lowest one): 189 meV/atom

***

The following is a PBE calculation of an optimized crystal structure of BaMnCd2Os, from Alexandria via LeMat-Bulk.

a b c (Å): 6.300 5.384 6.300
angles (deg): 90.00 90.00 90.00
Site moments in Bohr magnetons follow the coordinates.
Positions (direct):
Mn (0.500, 0.500, 0.500)  4.57
Os (0.000, 0.500, 0.000)  1.65
Ba (0.000, 0.000, 0.000)  0.00
Cd (0.000, 0.000, 0.500)  0.01
Cd (0.500, 0.000, 0.000)  0.02

Results
* total magnetic moment: 6.8 μB/f.u.
* V: 42.7 A^3/atom
* E_form: 1989 meV/atom
* calculated total energy: -2.84 eV per atom
* crystal system: tetragonal

***

The following is a PBE calculation of an optimized crystal structure of MgCd2, from Alexandria via LeMat-Bulk.

a b c (Å): 5.438 5.438 5.102
angles (deg): 90.00 90.00 120.00
Positions (direct):
Mg (0.667, 0.333, 0.500)
Mg (0.333, 0.667, 0.500)
Cd (0.665, 0.000, 0.000)
Cd (0.000, 0.000, 0.500)
Cd (0.335, 0.335, 0.000)
Cd (0.000, 0.665, 0.000)

Results
* total magnetic moment: 0.0 μB/f.u.
* V: 21.8 A^3/atom
* E_form: -56 meV/atom
* calculated total energy: -1.20 eV per atom
* crystal system: hexagonal

***

> Which of these has the highest V?

BaMnCd2Os